(1)
This record from Alexandria via LeMat-Bulk describes crystalline KPd at its relaxed geometry. The functional is PBE.

Summary:
* E above lowest polymorph: 262 meV per atom
* mass density: 2.5 g/cm³
* energy of formation: 0.365 eV per atom
* crystal system: cubic
* E_tot: -2.78 eV/atom

abc: 7.9924 7.9924 7.9924
angles: 109.47 109.47 109.47
Closest atoms and distances in Å follow each position.
Fractional coordinates of all 8 atoms:
K: 0.0000 0.0000 0.5805  4 Pd 2.97-3.21
K: 0.0000 0.5805 0.0000  4 Pd 2.97-3.21
K: 0.4195 0.4195 0.4195  4 Pd 2.97-3.21
K: 0.5805 0.0000 0.0000  4 Pd 2.97-3.21
Pd: 0.0000 0.0000 0.2086  3 Pd 2.72, 1 K 2.97
Pd: 0.0000 0.2086 0.0000  3 Pd 2.72, 1 K 2.97
Pd: 0.2086 0.0000 0.0000  3 Pd 2.72, 1 K 2.97
Pd: 0.7914 0.7914 0.7914  3 Pd 2.72, 1 K 2.97

---

(2)
This record from Alexandria via LeMat-Bulk describes crystalline K2Pd at its relaxed geometry. The functional is PBE.

Summary:
* mass density: 2.3 g/cm³
* energy of formation: 0.022 eV per atom
* crystal system: triclinic
* E_tot: -2.44 eV/atom

abc: 4.7872 6.2918 9.2218
angles: 101.82 104.83 90.00
Closest atoms and distances in Å follow each position.
Fractional coordinates of all 6 atoms:
K: 0.0959 0.3056 0.1872  3 Pd 3.16-3.46
K: 0.3294 0.1546 0.6607  4 Pd 3.19-3.53
K: 0.6706 0.8454 0.3393  4 Pd 3.19-3.53
K: 0.9041 0.6944 0.8128  3 Pd 3.16-3.46
Pd: 0.2627 0.5854 0.5258  2 Pd 2.62
Pd: 0.7373 0.4146 0.4742  2 Pd 2.62

---

(3)
This record from Alexandria via LeMat-Bulk describes crystalline KPd at its relaxed geometry. The functional is PBE.

Summary:
* E above lowest polymorph: 53 meV per atom
* mass density: 4.5 g/cm³
* energy of formation: 0.156 eV per atom
* crystal system: orthorhombic
* E_tot: -2.99 eV/atom

abc: 9.1554 8.4646 5.4539
angles: 79.03 65.18 35.79
Closest atoms and distances in Å follow each position.
Fractional coordinates of all 8 atoms:
K: 0.0418 0.7082 0.0418  3 K 3.05-3.33, 4 Pd 3.12-3.33
K: 0.2918 0.9582 0.2918  3 K 3.05-3.33, 4 Pd 3.12-3.33
K: 0.7082 0.0418 0.7082  3 K 3.05-3.33, 4 Pd 3.12-3.33
K: 0.9582 0.2918 0.9582  3 K 3.05-3.33, 4 Pd 3.12-3.33
Pd: 0.2910 0.2910 0.4590  1 Pd 2.66
Pd: 0.4590 0.4590 0.2910  1 Pd 2.66
Pd: 0.5410 0.5410 0.7090  1 Pd 2.66
Pd: 0.7090 0.7090 0.5410  1 Pd 2.66

---

> E_tot of number 2 (K2Pd)?

-2.44 eV/atom

---

> Which formula does entry 2 have?

K2Pd

---

> What is the energy of formation in the third record?

0.156 eV per atom

---

Copy entry 2 word for word.
This record from Alexandria via LeMat-Bulk describes crystalline K2Pd at its relaxed geometry. The functional is PBE.

Summary:
* mass density: 2.3 g/cm³
* energy of formation: 0.022 eV per atom
* crystal system: triclinic
* E_tot: -2.44 eV/atom

abc: 4.7872 6.2918 9.2218
angles: 101.82 104.83 90.00
Closest atoms and distances in Å follow each position.
Fractional coordinates of all 6 atoms:
K: 0.0959 0.3056 0.1872  3 Pd 3.16-3.46
K: 0.3294 0.1546 0.6607  4 Pd 3.19-3.53
K: 0.6706 0.8454 0.3393  4 Pd 3.19-3.53
K: 0.9041 0.6944 0.8128  3 Pd 3.16-3.46
Pd: 0.2627 0.5854 0.5258  2 Pd 2.62
Pd: 0.7373 0.4146 0.4742  2 Pd 2.62